CoB3O: optimized geometry, GGA+U.

- Symmetry: Pm-3m
- Final energy: -22.44 eV/cell

Cell: 3.333 3.333 3.333 Å, 90.00 90.00 90.00°
Atoms (fractional coordinates):
Co  0.000  0.000  0.000
B  0.000  0.500  0.500
B  0.500  0.000  0.500
B  0.500  0.500  0.000
O  0.500  0.500  0.500